Pu2Pa2BeSi4: optimized geometry, PBE.

Cell lengths 6.160, 6.160, 6.160 Å; angles 97.77, 115.62, 115.62 degrees
Atoms (fractional coordinates):
Pa1 0.500 0.250 0.750
Pa2 0.500 0.750 0.250
Pu1 0.000 0.684 0.684
Pu2 0.000 0.316 0.316
Si1 0.461 0.230 0.230
Si2 0.000 0.230 0.770
Si3 0.000 0.770 0.230
Si4 0.539 0.770 0.770
Be1 0.000 0.000 0.000

Properties
The calculation puts the total magnetization at 12.89 μB per formula unit. The space-group type is I4/mmm. The total energy is -8.268 eV/atom.



Y3Pt5: optimized geometry, PBE.

Cell lengths 5.823, 5.823, 9.750 Å; angles 90.00, 90.00, 104.09 degrees
Atoms (fractional coordinates):
Pt1 0.317 0.317 0.548
Pt2 0.026 0.026 0.750
Pt3 0.317 0.317 0.952
Pt4 0.060 0.510 0.750
Pt5 0.683 0.683 0.452
Pt6 0.490 0.940 0.250
Pt7 0.940 0.490 0.250
Pt8 0.510 0.060 0.750
Pt9 0.683 0.683 0.048
Pt10 0.974 0.974 0.250
Y1 0.203 0.797 0.000
Y2 0.379 0.379 0.250
Y3 0.797 0.203 0.000
Y4 0.621 0.621 0.750
Y5 0.797 0.203 0.500
Y6 0.203 0.797 0.500

Properties
The calculation puts the total magnetization at 0.00 μB per formula unit. The space-group type is Cmcm. The formation energy comes out at -1163 meV per atom. Its energy above the most stable polymorph in this dataset is 0.000 eV per atom.



PmTh2Pt: optimized geometry, PBE.

Cell lengths 3.804, 3.804, 10.697 Å; angles 79.76, 79.76, 60.00 degrees
Atoms (fractional coordinates):
Th1 0.106 0.106 0.681
Th2 0.894 0.894 0.319
Pt1 0.500 0.500 0.500
Pm1 0.000 0.000 0.000

Properties
The calculation puts the total magnetization at 0.72 μB per formula unit. The space-group type is R-3m. The formation energy comes out at -181 meV per atom. Its energy above the most stable polymorph in this dataset is 0.418 eV per atom.



CsK3Rb3Na2: optimized geometry, PBE.

Cell lengths 4.761, 12.739, 12.739 Å; angles 120.00, 90.00, 90.00 degrees
Atoms (fractional coordinates):
Na1 0.500 0.667 0.333
Na2 0.500 0.333 0.667
K1 0.000 0.000 0.367
K2 0.000 0.633 0.633
K3 0.000 0.367 0.000
Rb1 0.500 0.671 0.000
Rb2 0.500 0.329 0.329
Rb3 0.500 0.000 0.671
Cs1 0.000 0.000 0.000

Properties
The calculation puts the total magnetization at 0.00 μB per formula unit. The space-group type is P-62m. The formation energy comes out at 56 meV per atom.



CdPbSe: optimized geometry, PBE.

Cell lengths 5.140, 5.140, 5.140 Å; angles 60.00, 60.00, 60.00 degrees
Atoms (fractional coordinates):
Pb1 0.750 0.750 0.750
Cd1 0.500 0.500 0.500
Se1 0.000 0.000 0.000

Properties
The calculation puts the total magnetization at 0.00 μB per formula unit. The space-group type is F-43m. Its energy above the most stable polymorph in this dataset is 0.202 eV per atom.



SmLuIn2: optimized geometry, PBE.

Cell lengths 5.325, 5.325, 5.325 Å; angles 60.00, 60.00, 60.00 degrees
Atoms (fractional coordinates):
In1 0.250 0.250 0.250
In2 0.750 0.750 0.750
Sm1 0.000 0.000 0.000
Lu1 0.500 0.500 0.500

Properties
The calculation puts the total magnetization at 0.00 μB per formula unit. The space-group type is Fm-3m. The formation energy comes out at -443 meV per atom. Its energy above the most stable polymorph in this dataset is 0.003 eV per atom.



CaMg2P: optimized geometry, PBE.

Cell lengths 4.085, 5.497, 5.503 Å; angles 60.54, 90.00, 90.00 degrees
Atoms (fractional coordinates):
P1 0.500 0.250 0.250
Ca1 0.500 0.750 0.750
Mg1 0.000 0.418 0.419
Mg2 0.000 0.082 0.081

Properties
The calculation puts the total magnetization at 0.00 μB per formula unit. The space-group type is Cmmm. The formation energy comes out at -404 meV per atom.



AcAs2PtRh5: optimized geometry, PBE.

Cell lengths 4.084, 4.084, 10.720 Å; angles 90.00, 90.00, 90.00 degrees
Atoms (fractional coordinates):
Pt1 0.000 0.000 0.000
Ac1 0.000 0.000 0.500
Rh1 0.500 0.500 0.500
Rh2 0.000 0.500 0.844
Rh3 0.500 0.000 0.156
Rh4 0.000 0.500 0.156
Rh5 0.500 0.000 0.844
As1 0.500 0.500 0.725
As2 0.500 0.500 0.275

Properties
The calculation puts the total magnetization at 0.00 μB per formula unit. The space-group type is P4/mmm. The formation energy comes out at -340 meV per atom.



NiPb2Se: optimized geometry, PBE.

Cell lengths 8.111, 5.130, 3.558 Å; angles 90.12, 63.81, 129.60 degrees
Atoms (fractional coordinates):
Ni1 0.500 0.500 0.000
Pb1 0.000 0.000 0.000
Pb2 0.500 0.000 0.500
Se1 0.000 0.500 0.500

Properties
The calculation puts the total magnetization at 0.00 μB per formula unit. The space-group type is C2/m. The total energy is -4.003 eV/atom.



Na2TeAs2: optimized geometry, PBE.

Cell lengths 7.585, 7.585, 4.456 Å; angles 90.00, 90.00, 90.00 degrees
Atoms (fractional coordinates):
As1 0.385 0.885 0.000
As2 0.115 0.385 0.000
As3 0.615 0.115 0.000
As4 0.885 0.615 0.000
Te1 0.500 0.500 0.000
Te2 0.000 0.000 0.000
Na1 0.820 0.320 0.500
Na2 0.680 0.820 0.500
Na3 0.180 0.680 0.500
Na4 0.320 0.180 0.500

Properties
The calculation puts the total magnetization at 0.00 μB per formula unit. The space-group type is P4/mbm. Its energy above the most stable polymorph in this dataset is 0.000 eV per atom.



Sc2SbOs: optimized geometry, PBE.

Cell lengths 7.626, 7.626, 6.159 Å; angles 51.75, 51.75, 90.00 degrees
Atoms (fractional coordinates):
Sb1 0.500 0.500 0.000
Sb2 0.250 0.750 0.500
Sc1 0.677 0.125 0.250
Sc2 0.875 0.927 0.750
Sc3 0.073 0.625 0.250
Sc4 0.375 0.323 0.750
Os1 0.000 0.000 0.000
Os2 0.750 0.250 0.500

Properties
The calculation puts the total magnetization at 0.00 μB per formula unit. The space-group type is I-42d. The total energy is -7.086 eV/atom.



Os2BrCl: optimized geometry, PBE.

Cell lengths 4.469, 4.469, 5.186 Å; angles 78.79, 78.79, 38.88 degrees
Atoms (fractional coordinates):
Cl1 0.250 0.250 0.250
Os1 0.501 0.501 0.480
Os2 0.999 0.999 0.020
Br1 0.750 0.750 0.750

Properties
The calculation puts the total magnetization at 0.00 μB per formula unit. The space-group type is C2/m. Its energy above the most stable polymorph in this dataset is 1.093 eV per atom.



Cu5GePt4: optimized geometry, PBE.

Cell lengths 4.517, 5.348, 6.171 Å; angles 104.03, 105.57, 78.85 degrees
Atoms (fractional coordinates):
Ge1 0.500 0.000 0.000
Cu1 0.914 0.584 0.797
Cu2 0.500 0.500 0.000
Cu3 0.720 0.783 0.402
Cu4 0.280 0.217 0.598
Cu5 0.086 0.416 0.203
Pt1 0.877 0.103 0.802
Pt2 0.681 0.289 0.386
Pt3 0.319 0.711 0.614
Pt4 0.123 0.897 0.198

Properties
The calculation puts the total magnetization at 0.00 μB per formula unit. The space-group type is P-1. The formation energy comes out at -232 meV per atom.



TlAsI3: optimized geometry, PBE.

Cell lengths 6.071, 6.071, 6.071 Å; angles 90.00, 90.00, 90.00 degrees
Atoms (fractional coordinates):
Tl1 0.000 0.000 0.000
I1 0.000 0.000 0.500
I2 0.000 0.500 0.000
I3 0.500 0.000 0.000
As1 0.500 0.500 0.500

Properties
The calculation puts the total magnetization at 2.45 μB per formula unit. The space-group type is Pm-3m. Its energy above the most stable polymorph in this dataset is 0.783 eV per atom.



RbCu4SeS2: optimized geometry, PBE.

Cell lengths 3.920, 3.920, 9.962 Å; angles 90.00, 90.00, 90.00 degrees
Atoms (fractional coordinates):
S1 0.500 0.500 0.291
S2 0.500 0.500 0.709
Rb1 0.000 0.000 0.500
Cu1 0.000 0.500 0.830
Cu2 0.500 0.000 0.170
Cu3 0.500 0.000 0.830
Cu4 0.000 0.500 0.170
Se1 0.000 0.000 0.000

Properties
The calculation puts the total magnetization at 0.00 μB per formula unit. The space-group type is P4/mmm. The total energy is -4.041 eV/atom.



AcGaAu: optimized geometry, PBE.

Cell lengths 3.694, 3.694, 6.159 Å; angles 107.45, 107.45, 90.00 degrees
Atoms (fractional coordinates):
Au1 0.691 0.691 0.382
Ga1 0.306 0.306 0.612
Ac1 0.003 0.003 0.006

Properties
The calculation puts the total magnetization at 0.00 μB per formula unit. The space-group type is I4mm. The formation energy comes out at -471 meV per atom. Its energy above the most stable polymorph in this dataset is 0.295 eV per atom.



BaCuAs: optimized geometry, PBE.

Cell lengths 4.205, 6.147, 8.094 Å; angles 52.80, 105.14, 90.23 degrees
Atoms (fractional coordinates):
As1 0.893 0.756 0.811
As2 0.149 0.775 0.320
Cu1 0.306 0.803 0.636
Cu2 0.736 0.728 0.494
Ba1 0.424 0.151 0.868
Ba2 0.618 0.379 0.263

Properties
The calculation puts the total magnetization at 0.00 μB per formula unit. The space-group type is P-1. The formation energy comes out at -674 meV per atom.



TlTcAg2: optimized geometry, PBE.

Cell lengths 5.115, 5.115, 5.325 Å; angles 79.81, 79.81, 32.77 degrees
Atoms (fractional coordinates):
Ag1 0.995 0.995 0.032
Ag2 0.244 0.244 0.231
Tl1 0.755 0.755 0.716
Tc1 0.506 0.506 0.521

Properties
The calculation puts the total magnetization at 0.00 μB per formula unit. The space-group type is Cm. The formation energy comes out at 563 meV per atom. Its energy above the most stable polymorph in this dataset is 0.039 eV per atom.



GaCuBiO4: optimized geometry, PBE.

Cell lengths 5.493, 5.493, 6.823 Å; angles 90.00, 90.00, 111.82 degrees
Atoms (fractional coordinates):
O1 0.765 0.773 0.250
O2 0.247 0.753 0.985
O3 0.235 0.227 0.750
O4 0.753 0.247 0.015
O5 0.227 0.235 0.250
O6 0.753 0.247 0.485
O7 0.247 0.753 0.515
O8 0.773 0.765 0.750
Cu1 0.173 0.827 0.250
Cu2 0.827 0.173 0.750
Ga1 0.145 0.855 0.750
Ga2 0.855 0.145 0.250
Bi1 0.500 0.500 0.000
Bi2 0.500 0.500 0.500

Properties
The calculation puts the total magnetization at 0.00 μB per formula unit. The space-group type is Cmcm. The total energy is -5.534 eV/atom.



KRb6Na5: optimized geometry, PBE.

Cell lengths 6.856, 13.393, 11.771 Å; angles 55.33, 73.10, 59.28 degrees
Atoms (fractional coordinates):
Rb1 0.781 0.719 0.000
Rb2 0.270 0.901 0.659
Rb3 0.219 0.281 0.000
Rb4 0.270 0.560 0.341
Rb5 0.730 0.099 0.341
Rb6 0.730 0.440 0.659
Na1 0.500 0.844 0.311
Na2 0.000 0.682 0.635
Na3 0.500 0.156 0.689
Na4 0.000 0.318 0.365
Na5 0.500 0.500 0.000
K1 0.000 0.000 0.000

Properties
The calculation puts the total magnetization at 0.00 μB per formula unit. The space-group type is C2/m. The formation energy comes out at 40 meV per atom.